Computed, not measured: an optimized crystal structure of ZrZnTc2 at the PBE-GGA level of DFT.

Values from the calculation:
Fermi-level density of states: 1.122 states/eV per atom
magnetic moment: 0.00 Bohr magnetons per cell
crystal system: tetragonal
energy of formation from the pure elements: -0.096 eV/atom

Unit cell a=3.035 b=3.035 c=7.188 alpha=90.00 beta=90.00 gamma=90.00
Space group P4mm (No. 99)
Asymmetric unit:
1 Zr 0.000 0.000 0.000 (multiplicity 1)
2 Zn 0.500 0.500 0.718 (multiplicity 1)
3 Tc 0.000 0.000 0.483 (multiplicity 1)
4 Tc 0.500 0.500 0.286 (multiplicity 1)

=====

Computed, not measured: an optimized crystal structure of Zr4Zn3Tc at the PBE-GGA level of DFT.

Values from the calculation:
Fermi-level density of states: 0.488 states/eV per atom
magnetic moment: 0.00 Bohr magnetons per cell
crystal system: tetragonal
energy of formation from the pure elements: -0.332 eV/atom

Unit cell a=3.362 b=3.362 c=13.108 alpha=90.00 beta=90.00 gamma=90.00
Space group P4/mmm (No. 123)
Asymmetric unit:
1 Zr 0.000 0.000 0.120 (multiplicity 2)
2 Zr 0.000 0.000 0.374 (multiplicity 2)
3 Zn 0.500 0.500 0.249 (multiplicity 2)
4 Zn 0.500 0.500 0.500 (multiplicity 1)
5 Tc 0.500 0.500 0.000 (multiplicity 1)

=====

Computed, not measured: an optimized crystal structure of Zr3ZnTc at the PBE-GGA level of DFT.

Values from the calculation:
E above lowest polymorph: 369 kJ/mol of formula units
Fermi-level density of states: 1.271 states/eV per atom
magnetic moment: 1.08 Bohr magnetons per cell
crystal system: cubic
energy of formation from the pure elements: 0.514 eV/atom

Unit cell a=5.018 b=5.018 c=5.018 alpha=90.00 beta=90.00 gamma=90.00
Space group Pm-3m (No. 221)
Asymmetric unit:
1 Zr 0.000 0.000 0.500 (multiplicity 3)
2 Zn 0.500 0.500 0.500 (multiplicity 1)
3 Tc 0.000 0.000 0.000 (multiplicity 1)

=====

Computed, not measured: an optimized crystal structure of ZrZnTc2 at the PBE-GGA level of DFT.

Values from the calculation:
Fermi-level density of states: 0.660 states/eV per atom
magnetic moment: 0.00 Bohr magnetons per cell
crystal system: monoclinic
energy of formation from the pure elements: -0.054 eV/atom

Unit cell a=2.914 b=4.396 c=5.221 alpha=90.00 beta=102.51 gamma=90.00
Space group Pm (No. 6)
Asymmetric unit:
1 Zr 0.000 0.000 0.000 (multiplicity 1)
2 Zn 0.411 0.500 0.779 (multiplicity 1)
3 Tc 0.448 0.000 0.491 (multiplicity 1)
4 Tc 0.747 0.500 0.318 (multiplicity 1)

=====

Computed, not measured: an optimized crystal structure of ZrZnTc2 at the PBE-GGA level of DFT.

Values from the calculation:
Fermi-level density of states: 1.236 states/eV per atom
magnetic moment: 0.04 Bohr magnetons per cell
crystal system: tetragonal
energy of formation from the pure elements: 0.519 eV/atom

Unit cell a=7.202 b=7.202 c=5.331 alpha=90.00 beta=90.00 gamma=90.00
Space group I-42d (No. 122)
Asymmetric unit:
1 Zr 0.000 0.000 0.000 (multiplicity 4)
2 Zn 0.000 0.000 0.500 (multiplicity 4)
3 Tc 0.225 0.750 0.625 (multiplicity 8)

=====

Computed, not measured: an optimized crystal structure of ZrZnTc2 at the PBE-GGA level of DFT.

Values from the calculation:
Fermi-level density of states: 1.077 states/eV per atom
magnetic moment: 0.00 Bohr magnetons per cell
crystal system: tetragonal
energy of formation from the pure elements: 0.237 eV/atom

Unit cell a=2.718 b=2.718 c=8.806 alpha=90.00 beta=90.00 gamma=90.00
Space group P4/mmm (No. 123)
Asymmetric unit:
1 Zr 0.000 0.000 0.000 (multiplicity 1)
2 Zn 0.000 0.000 0.500 (multiplicity 1)
3 Tc 0.500 0.500 0.272 (multiplicity 2)

=====

Computed, not measured: an optimized crystal structure of ZrZnTc2 at the PBE-GGA level of DFT.

Values from the calculation:
Fermi-level density of states: 1.357 states/eV per atom
magnetic moment: 0.00 Bohr magnetons per cell
crystal system: tetragonal
energy of formation from the pure elements: 0.095 eV/atom

Unit cell a=3.900 b=3.900 c=8.609 alpha=90.00 beta=90.00 gamma=90.00
Space group I4/mmm (No. 139)
Asymmetric unit:
1 Zr 0.000 0.000 0.000 (multiplicity 2)
2 Zn 0.000 0.000 0.500 (multiplicity 2)
3 Tc 0.000 0.500 0.250 (multiplicity 4)

=====

Computed, not measured: an optimized crystal structure of Zr3Tc at the PBE-GGA level of DFT.

Values from the calculation:
Fermi-level density of states: 1.247 states/eV per atom
magnetic moment: 0.00 Bohr magnetons per cell
crystal system: orthorhombic
energy of formation from the pure elements: -0.130 eV/atom

Unit cell a=3.395 b=11.345 c=8.822 alpha=90.00 beta=90.00 gamma=90.00
Space group Cmcm (No. 63)
Asymmetric unit:
1 Zr 0.000 0.057 0.250 (multiplicity 4)
2 Zr 0.000 0.364 0.054 (multiplicity 8)
3 Tc 0.000 0.246 0.750 (multiplicity 4)

=====

Computed, not measured: an optimized crystal structure of ZrTc8 at the PBE-GGA level of DFT.

Values from the calculation:
Fermi-level density of states: 1.017 states/eV per atom
magnetic moment: 0.00 Bohr magnetons per cell
crystal system: tetragonal
energy of formation from the pure elements: -0.001 eV/atom

Unit cell a=8.406 b=8.406 c=3.959 alpha=90.00 beta=90.00 gamma=90.00
Space group I4/mmm (No. 139)
Asymmetric unit:
1 Zr 0.000 0.000 0.000 (multiplicity 2)
2 Tc 0.000 0.347 0.000 (multiplicity 8)
3 Tc 0.182 0.182 0.500 (multiplicity 8)

=====

Computed, not measured: an optimized crystal structure of Zr3Tc at the PBE-GGA level of DFT.

Values from the calculation:
Fermi-level density of states: 1.204 states/eV per atom
magnetic moment: 0.00 Bohr magnetons per cell
crystal system: monoclinic
energy of formation from the pure elements: -0.085 eV/atom

Unit cell a=3.208 b=4.543 c=5.780 alpha=90.00 beta=104.18 gamma=90.00
Space group P2/m (No. 10)
Asymmetric unit:
1 Zr 0.000 0.000 0.000 (multiplicity 1)
2 Zr 0.310 0.500 0.729 (multiplicity 2)
3 Tc 0.500 0.000 0.500 (multiplicity 1)

=====

Computed, not measured: an optimized crystal structure of Zr3Tc at the PBE-GGA level of DFT.

Values from the calculation:
Fermi-level density of states: 0.962 states/eV per atom
magnetic moment: 0.00 Bohr magnetons per cell
crystal system: orthorhombic
energy of formation from the pure elements: -0.100 eV/atom

Unit cell a=6.493 b=9.040 c=5.879 alpha=90.00 beta=90.00 gamma=90.00
Space group Pnma (No. 62)
Asymmetric unit:
1 Zr 0.030 0.250 0.139 (multiplicity 4)
2 Zr 0.190 0.054 0.654 (multiplicity 8)
3 Tc 0.113 0.750 0.417 (multiplicity 4)

=====

Computed, not measured: an optimized crystal structure of Zr5Tc at the PBE-GGA level of DFT.

Values from the calculation:
E above lowest polymorph: 7 kJ/mol of formula units
Fermi-level density of states: 1.097 states/eV per atom
magnetic moment: 0.00 Bohr magnetons per cell
crystal system: tetragonal
energy of formation from the pure elements: -0.117 eV/atom

Unit cell a=3.292 b=3.292 c=11.863 alpha=90.00 beta=90.00 gamma=90.00
Space group P4/mmm (No. 123)
Asymmetric unit:
1 Zr 0.000 0.000 0.000 (multiplicity 1)
2 Zr 0.000 0.000 0.365 (multiplicity 2)
3 Zr 0.500 0.500 0.183 (multiplicity 2)
4 Tc 0.500 0.500 0.500 (multiplicity 1)

=====

Among the records above, which one has the highest Fermi-level density of states?
number 7

=====

Fermi-level density of states of number 9 (ZrTc8)?
1.017 states/eV per atom

=====

What is the Fermi-level density of states in the fifth record?
1.236 states/eV per atom